Entry 1:
Entry from the Alexandria database: a relaxed NaSr2IrO6 crystal (PBE).

abc: 5.745 5.982 9.972
angles: 90.00 125.03 90.00
Fractional coordinates of all 20 atoms:
Na: 0.000 0.000 0.000
Na: 0.000 0.500 0.500
Sr: 0.235 0.058 0.748
Sr: 0.235 0.442 0.248
Sr: 0.765 0.558 0.752
Sr: 0.765 0.942 0.252
Ir: 0.500 0.000 0.500
Ir: 0.500 0.500 0.000
O: 0.185 0.179 0.458
O: 0.185 0.321 0.958
O: 0.277 0.732 0.450
O: 0.277 0.768 0.950
O: 0.361 0.029 0.274
O: 0.361 0.471 0.774
O: 0.639 0.529 0.226
O: 0.639 0.971 0.726
O: 0.723 0.232 0.050
O: 0.723 0.268 0.550
O: 0.815 0.679 0.042
O: 0.815 0.821 0.542

Properties
Uncorrected energy (eV/atom): -6.094
Space-group type: No. 14
Formation energy from raw total energies (eV per atom): -1.764
Magnetization (μB/cell): 4.030

***

Entry 2:
Entry from the Alexandria database: a relaxed In5Cu3Hg12 crystal (PBE).

abc: 14.493 14.493 14.493
angles: 109.47 109.47 109.47
Fractional coordinates of all 80 atoms:
In: 0.000 0.000 0.000
In: 0.000 0.000 0.500
In: 0.000 0.500 0.000
In: 0.000 0.500 0.500
In: 0.125 0.750 0.875
In: 0.125 0.875 0.250
In: 0.250 0.125 0.875
In: 0.250 0.625 0.375
In: 0.375 0.250 0.625
In: 0.375 0.625 0.750
In: 0.500 0.000 0.000
In: 0.500 0.000 0.500
In: 0.500 0.500 0.000
In: 0.500 0.500 0.500
In: 0.625 0.375 0.250
In: 0.625 0.750 0.375
In: 0.750 0.375 0.625
In: 0.750 0.875 0.125
In: 0.875 0.125 0.750
In: 0.875 0.250 0.125
Cu: 0.125 0.250 0.375
Cu: 0.125 0.375 0.750
Cu: 0.250 0.375 0.125
Cu: 0.250 0.875 0.625
Cu: 0.375 0.125 0.250
Cu: 0.375 0.750 0.125
Cu: 0.625 0.250 0.875
Cu: 0.625 0.875 0.750
Cu: 0.750 0.125 0.375
Cu: 0.750 0.625 0.875
Cu: 0.875 0.625 0.250
Cu: 0.875 0.750 0.625
Hg: 0.055 0.631 0.386
Hg: 0.055 0.924 0.669
Hg: 0.076 0.245 0.131
Hg: 0.076 0.331 0.945
Hg: 0.114 0.745 0.669
Hg: 0.114 0.869 0.445
Hg: 0.131 0.076 0.245
Hg: 0.131 0.555 0.886
Hg: 0.169 0.245 0.614
Hg: 0.169 0.424 0.555
Hg: 0.245 0.131 0.076
Hg: 0.245 0.614 0.169
Hg: 0.255 0.331 0.886
Hg: 0.255 0.424 0.369
Hg: 0.331 0.886 0.255
Hg: 0.331 0.945 0.076
Hg: 0.369 0.255 0.424
Hg: 0.369 0.614 0.945
Hg: 0.386 0.055 0.631
Hg: 0.386 0.831 0.755
Hg: 0.424 0.369 0.255
Hg: 0.424 0.555 0.169
Hg: 0.445 0.114 0.869
Hg: 0.445 0.831 0.576
Hg: 0.555 0.169 0.424
Hg: 0.555 0.886 0.131
Hg: 0.576 0.445 0.831
Hg: 0.576 0.631 0.745
Hg: 0.614 0.169 0.245
Hg: 0.614 0.945 0.369
Hg: 0.631 0.386 0.055
Hg: 0.631 0.745 0.576
Hg: 0.669 0.055 0.924
Hg: 0.669 0.114 0.745
Hg: 0.745 0.576 0.631
Hg: 0.745 0.669 0.114
Hg: 0.755 0.386 0.831
Hg: 0.755 0.869 0.924
Hg: 0.831 0.576 0.445
Hg: 0.831 0.755 0.386
Hg: 0.869 0.445 0.114
Hg: 0.869 0.924 0.755
Hg: 0.886 0.131 0.555
Hg: 0.886 0.255 0.331
Hg: 0.924 0.669 0.055
Hg: 0.924 0.755 0.869
Hg: 0.945 0.076 0.331
Hg: 0.945 0.369 0.614

Properties
E_form (meV/atom): 208
Uncorrected energy (eV/atom): -1.272
Space-group type: No. 230
Magnetization (μB/cell): 0.000